Record 1
This record from Alexandria via LeMat-Bulk describes Cs2SmCu2S4 after structural relaxation. The functional is PBE.

Output
* crystal system: monoclinic
* formation energy without anion corrections: -9.97 eV per formula unit
* total magnetic moment: 0.000 μB/atom

a = 4.038 Å, b = 8.135 Å, c = 7.798 Å
α = 107.49°, β = 105.01°, γ = 90.00°
Atoms (fractional coordinates):
1 S 0.476 0.221 0.952
2 S 0.801 0.860 0.601
3 S 0.524 0.779 0.048
4 S 0.199 0.140 0.399
5 Cs 0.137 0.559 0.273
6 Cs 0.863 0.441 0.727
7 Cu 0.676 0.982 0.352
8 Cu 0.324 0.018 0.648
9 Sm 0.000 0.000 0.000



Record 2
This record from Alexandria via LeMat-Bulk describes MnSi after structural relaxation. The functional is PBE.

Output
* crystal system: tetragonal
* formation energy without anion corrections: -0.52 eV per formula unit
* total magnetic moment: 1.025 μB/atom

a = 4.611 Å, b = 4.611 Å, c = 4.611 Å
α = 135.56°, β = 135.56°, γ = 64.67°
Site moments in Bohr magnetons follow the coordinates.
Atoms (fractional coordinates):
1 Mn 0.250 0.750 0.500  2.10
2 Mn 0.000 0.000 0.000  2.10
3 Si 0.500 0.500 0.000  -0.07
4 Si 0.750 0.250 0.500  -0.07



Record 3
This record from Alexandria via LeMat-Bulk describes Tc4Sb after structural relaxation. The functional is PBE.

Output
* crystal system: cubic
* formation energy without anion corrections: 11.00 eV per formula unit
* total magnetic moment: 0.308 μB/atom

a = 4.769 Å, b = 4.769 Å, c = 4.769 Å
α = 90.00°, β = 90.00°, γ = 90.00°
Site moments in Bohr magnetons follow the coordinates.
Atoms (fractional coordinates):
1 Tc 0.000 0.500 0.500  -0.56
2 Tc 0.500 0.500 0.000  -0.56
3 Tc 0.000 0.000 0.000  3.02
4 Tc 0.500 0.000 0.500  -0.56
5 Sb 0.500 0.500 0.500  0.03



Record 4
This record from Alexandria via LeMat-Bulk describes SmTmI after structural relaxation. The functional is PBE.

Output
* crystal system: trigonal
* formation energy without anion corrections: -0.49 eV per formula unit
* total magnetic moment: 0.000 μB/atom

a = 3.799 Å, b = 5.413 Å, c = 5.413 Å
α = 120.00°, β = 90.00°, γ = 90.00°
Atoms (fractional coordinates):
1 Sm 0.064 0.000 0.000
2 I 0.392 0.333 0.667
3 Tm 0.545 0.667 0.333



Record 5
This record from Alexandria via LeMat-Bulk describes Sc2Co3Si after structural relaxation. The functional is PBE.

Output
* crystal system: hexagonal
* formation energy without anion corrections: -3.70 eV per formula unit
* total magnetic moment: 0.000 μB/atom

a = 5.015 Å, b = 5.015 Å, c = 7.479 Å
α = 90.00°, β = 90.00°, γ = 120.00°
Atoms (fractional coordinates):
1 Co 0.829 0.658 0.750
2 Co 0.829 0.171 0.750
3 Co 0.171 0.829 0.250
4 Co 0.171 0.342 0.250
5 Co 0.342 0.171 0.750
6 Co 0.658 0.829 0.250
7 Sc 0.667 0.333 0.061
8 Sc 0.333 0.667 0.561
9 Sc 0.667 0.333 0.439
10 Sc 0.333 0.667 0.939
11 Si 0.000 0.000 0.000
12 Si 0.000 0.000 0.500



Record 6
This record from Alexandria via LeMat-Bulk describes Tb3ErMg7 after structural relaxation. The functional is PBE.

Output
* crystal system: monoclinic
* total magnetic moment: 0.000 μB/atom
* E: -2.49 eV/atom

a = 6.060 Å, b = 8.452 Å, c = 8.452 Å
α = 74.79°, β = 121.13°, γ = 121.13°
Atoms (fractional coordinates):
1 Mg 0.547 0.763 0.763
2 Mg 0.453 0.237 0.237
3 Mg 0.307 0.565 0.057
4 Mg 0.307 0.057 0.565
5 Mg 0.000 0.500 0.500
6 Mg 0.693 0.943 0.435
7 Mg 0.693 0.435 0.943
8 Tb 0.000 0.194 0.806
9 Tb 0.500 0.000 0.000
10 Tb 0.000 0.806 0.194
11 Er 0.500 0.500 0.500